This record from Alexandria describes crystalline DyEr2N3 at its relaxed geometry. The functional is PBE. Values from VASP.

The structure in Quantum ESPRESSO input format:
```
&SYSTEM
  ibrav = 0, nat = 24, ntyp = 3
/
ATOMIC_SPECIES
Dy 162.50 Dy.upf
Er 167.26 Er.upf
N 14.01 N.upf
ATOMIC_POSITIONS crystal
Dy 0.250 0.874 0.084
Dy 0.250 0.374 0.416
Dy 0.750 0.626 0.584
Dy 0.750 0.126 0.916
Er 0.250 0.875 0.750
Er 0.250 0.375 0.750
Er 0.250 0.875 0.417
Er 0.250 0.375 0.083
Er 0.750 0.625 0.917
Er 0.750 0.125 0.583
Er 0.750 0.625 0.250
Er 0.750 0.125 0.250
N 0.250 0.627 0.584
N 0.250 0.127 0.916
N 0.250 0.623 0.916
N 0.250 0.123 0.584
N 0.250 0.625 0.250
N 0.250 0.125 0.250
N 0.750 0.875 0.750
N 0.750 0.375 0.750
N 0.750 0.877 0.416
N 0.750 0.377 0.084
N 0.750 0.873 0.084
N 0.750 0.373 0.416
CELL_PARAMETERS angstrom
4.869 -0.008 0.000
0.011 6.888 0.000
0.000 0.000 10.334
```

## Properties
The magnetization comes out at 0.000 μB/f.u. For the formation energy (no corrections), the calculation gives -1.76 eV per atom. The volume comes out at 14.440 Å³ per atom.

This record from Alexandria describes crystalline TePb2WI at its relaxed geometry. The functional is PBE. Values from VASP.

The structure in Quantum ESPRESSO input format:
```
&SYSTEM
  ibrav = 0, nat = 5, ntyp = 4
/
ATOMIC_SPECIES
Pb 207.20 Pb.upf
I 126.90 I.upf
Te 127.60 Te.upf
W 183.84 W.upf
ATOMIC_POSITIONS crystal
Pb 0.000 0.000 0.500
Pb 0.500 0.000 0.000
I 0.000 0.000 0.000
Te 0.000 0.500 0.000
W 0.500 0.500 0.500
CELL_PARAMETERS angstrom
5.958 0.000 0.000
0.000 5.862 0.000
0.000 0.000 5.958
```

## Properties
The magnetization comes out at 4.749 μB/f.u. For the formation energy (no corrections), the calculation gives 1.85 eV per atom. The volume comes out at 41.624 Å³ per atom.

This record from Alexandria describes crystalline LiMn2Co at its relaxed geometry. The functional is PBE. Values from VASP.

The structure in Quantum ESPRESSO input format:
```
&SYSTEM
  ibrav = 0, nat = 4, ntyp = 3
/
ATOMIC_SPECIES
Co 58.93 Co.upf
Li 6.94 Li.upf
Mn 54.94 Mn.upf
ATOMIC_POSITIONS crystal
Co 0.500 0.250 0.250
Li 0.500 0.750 0.750
Mn 0.000 0.012 0.993
Mn 0.000 0.488 0.507
CELL_PARAMETERS angstrom
4.060 0.000 0.000
0.000 2.351 -0.048
0.000 1.149 4.467
```

## Properties
The magnetization comes out at 1.608 μB/f.u. For the formation energy, the calculation gives 0.29 eV per atom. The volume comes out at 10.712 Å³ per atom.

This record from Alexandria describes crystalline Hf5P2C at its relaxed geometry. The functional is PBE. Values from VASP.

The structure in Quantum ESPRESSO input format:
```
&SYSTEM
  ibrav = 0, nat = 16, ntyp = 3
/
ATOMIC_SPECIES
Hf 178.49 Hf.upf
P 30.97 P.upf
C 12.01 C.upf
ATOMIC_POSITIONS crystal
Hf 0.942 0.885 0.876
Hf 0.942 0.885 0.624
Hf 0.374 0.748 0.391
Hf 0.374 0.748 0.109
Hf 0.696 0.392 0.250
Hf 0.304 0.608 0.750
Hf 0.626 0.252 0.609
Hf 0.626 0.252 0.891
Hf 0.058 0.115 0.124
Hf 0.058 0.115 0.376
P 0.811 0.622 0.444
P 0.811 0.622 0.056
P 0.189 0.378 0.556
P 0.189 0.378 0.944
C 0.775 0.549 0.750
C 0.225 0.451 0.250
CELL_PARAMETERS angstrom
5.049 0.000 0.000
-2.525 5.005 0.000
0.000 0.000 11.745
```

## Properties
The magnetization comes out at 0.000 μB/f.u. For the formation energy, the calculation gives -0.66 eV per atom. The volume comes out at 18.549 Å³ per atom.

Please write out number 1 again, unchanged.
This record from Alexandria describes crystalline DyEr2N3 at its relaxed geometry. The functional is PBE. Values from VASP.

The structure in Quantum ESPRESSO input format:
```
&SYSTEM
  ibrav = 0, nat = 24, ntyp = 3
/
ATOMIC_SPECIES
Dy 162.50 Dy.upf
Er 167.26 Er.upf
N 14.01 N.upf
ATOMIC_POSITIONS crystal
Dy 0.250 0.874 0.084
Dy 0.250 0.374 0.416
Dy 0.750 0.626 0.584
Dy 0.750 0.126 0.916
Er 0.250 0.875 0.750
Er 0.250 0.375 0.750
Er 0.250 0.875 0.417
Er 0.250 0.375 0.083
Er 0.750 0.625 0.917
Er 0.750 0.125 0.583
Er 0.750 0.625 0.250
Er 0.750 0.125 0.250
N 0.250 0.627 0.584
N 0.250 0.127 0.916
N 0.250 0.623 0.916
N 0.250 0.123 0.584
N 0.250 0.625 0.250
N 0.250 0.125 0.250
N 0.750 0.875 0.750
N 0.750 0.375 0.750
N 0.750 0.877 0.416
N 0.750 0.377 0.084
N 0.750 0.873 0.084
N 0.750 0.373 0.416
CELL_PARAMETERS angstrom
4.869 -0.008 0.000
0.011 6.888 0.000
0.000 0.000 10.334
```

## Properties
The magnetization comes out at 0.000 μB/f.u. For the formation energy (no corrections), the calculation gives -1.76 eV per atom. The volume comes out at 14.440 Å³ per atom.

magnetization of number 3 (LiMn2Co)?
1.608 μB/f.u.